Arrangement P

# AlBiAu4 | Alexandria via LeMat-Bulk | PBE | relaxed
# - spin magnetization (Bohr magnetons per cell) = 0.000
data_AlBiAu4
_chemical_formula_sum 'Al1 Bi1 Au4'
_space_group_name_H-M_alt 'P 1'
_space_group_IT_number 1
_cell_length_a 3.9965
_cell_length_b 3.9965
_cell_length_c 9.1146
_cell_angle_alpha 100.11
_cell_angle_beta 100.11
_cell_angle_gamma 66.40
loop_
_space_group_symop_operation_xyz
'x,y,z'
loop_
_atom_site_label
_atom_site_type_symbol
_atom_site_fract_x
_atom_site_fract_y
_atom_site_fract_z
Al1 Al 0.0000 0.0000 0.0000
Bi1 Bi 0.5000 0.5000 0.5000
Au1 Au 0.0887 0.0887 0.3017
Au2 Au 0.3174 0.3174 0.8768
Au3 Au 0.6826 0.6826 0.1232
Au4 Au 0.9113 0.9113 0.6983

---

Arrangement Q

# AlBiAu4 | Alexandria via LeMat-Bulk | PBE | relaxed
# - spin magnetization (Bohr magnetons per cell) = 0.000
data_AlBiAu4
_chemical_formula_sum 'Al2 Bi2 Au8'
_space_group_name_H-M_alt 'P 1'
_space_group_IT_number 1
_cell_length_a 7.3960
_cell_length_b 7.3960
_cell_length_c 6.1419
_cell_angle_alpha 109.29
_cell_angle_beta 109.29
_cell_angle_gamma 51.86
loop_
_space_group_symop_operation_xyz
'x,y,z'
loop_
_atom_site_label
_atom_site_type_symbol
_atom_site_fract_x
_atom_site_fract_y
_atom_site_fract_z
Al1 Al 0.0430 0.0430 0.3238
Al2 Al 0.9570 0.9570 0.6762
Bi1 Bi 0.3039 0.3039 0.6843
Bi2 Bi 0.6961 0.6961 0.3157
Au1 Au 0.1615 0.6163 0.3250
Au2 Au 0.1910 0.1910 0.1275
Au3 Au 0.2807 0.7193 0.0000
Au4 Au 0.3837 0.8385 0.6750
Au5 Au 0.6163 0.1615 0.3250
Au6 Au 0.7193 0.2807 0.0000
Au7 Au 0.8090 0.8090 0.8725
Au8 Au 0.8385 0.3837 0.6750

---

It is arrangement P that is the most stable of them.

---

Arrangement P

# Al2BiAu2 | Alexandria via LeMat-Bulk | PBE | relaxed
# - spin magnetization (Bohr magnetons per cell) = 0.000
data_Al2BiAu2
_chemical_formula_sum 'Al2 Bi1 Au2'
_space_group_name_H-M_alt 'P 1'
_space_group_IT_number 1
_cell_length_a 6.6902
_cell_length_b 6.6902
_cell_length_c 6.6902
_cell_angle_alpha 144.03
_cell_angle_beta 144.03
_cell_angle_gamma 51.79
loop_
_space_group_symop_operation_xyz
'x,y,z'
loop_
_atom_site_label
_atom_site_type_symbol
_atom_site_fract_x
_atom_site_fract_y
_atom_site_fract_z
Al1 Al 0.2500 0.7500 0.5000
Al2 Al 0.7500 0.2500 0.5000
Bi1 Bi 0.0000 0.0000 0.0000
Au1 Au 0.3806 0.3806 0.0000
Au2 Au 0.6194 0.6194 0.0000

---

Arrangement Q

# Al2BiAu2 | Alexandria via LeMat-Bulk | PBE | relaxed
# - spin magnetization (Bohr magnetons per cell) = 0.000
data_Al2BiAu2
_chemical_formula_sum 'Al4 Bi2 Au4'
_space_group_name_H-M_alt 'P 1'
_space_group_IT_number 1
_cell_length_a 7.9375
_cell_length_b 7.9375
_cell_length_c 3.1781
_cell_angle_alpha 90.00
_cell_angle_beta 90.00
_cell_angle_gamma 90.00
loop_
_space_group_symop_operation_xyz
'x,y,z'
loop_
_atom_site_label
_atom_site_type_symbol
_atom_site_fract_x
_atom_site_fract_y
_atom_site_fract_z
Al1 Al 0.1526 0.3474 0.0000
Al2 Al 0.3474 0.8474 0.0000
Al3 Al 0.6526 0.1526 0.0000
Al4 Al 0.8474 0.6526 0.0000
Bi1 Bi 0.0000 0.0000 0.5000
Bi2 Bi 0.5000 0.5000 0.5000
Au1 Au 0.1368 0.6368 0.5000
Au2 Au 0.3632 0.1368 0.5000
Au3 Au 0.6368 0.8632 0.5000
Au4 Au 0.8632 0.3632 0.5000

---

Arrangement R

# Al2BiAu2 | Alexandria via LeMat-Bulk | PBE | relaxed
# - spin magnetization (Bohr magnetons per cell) = 0.000
data_Al2BiAu2
_chemical_formula_sum 'Al4 Bi2 Au4'
_space_group_name_H-M_alt 'P 1'
_space_group_IT_number 1
_cell_length_a 7.9233
_cell_length_b 7.9233
_cell_length_c 3.2293
_cell_angle_alpha 90.00
_cell_angle_beta 90.00
_cell_angle_gamma 90.00
loop_
_space_group_symop_operation_xyz
'x,y,z'
loop_
_atom_site_label
_atom_site_type_symbol
_atom_site_fract_x
_atom_site_fract_y
_atom_site_fract_z
Al1 Al 0.1478 0.3522 0.0000
Al2 Al 0.3522 0.8522 0.0000
Al3 Al 0.6478 0.1478 0.0000
Al4 Al 0.8522 0.6478 0.0000
Bi1 Bi 0.0000 0.0000 0.0000
Bi2 Bi 0.5000 0.5000 0.0000
Au1 Au 0.1387 0.6387 0.5000
Au2 Au 0.3613 0.1387 0.5000
Au3 Au 0.6387 0.8613 0.5000
Au4 Au 0.8613 0.3613 0.5000

---

It is arrangement P that is the most stable of them.

---

Arrangement P

# Al2Bi2Au | Alexandria via LeMat-Bulk | PBE | relaxed
# - spin magnetization (Bohr magnetons per cell) = 0.000
data_Al2Bi2Au
_chemical_formula_sum 'Al4 Bi4 Au2'
_space_group_name_H-M_alt 'P 1'
_space_group_IT_number 1
_cell_length_a 6.7517
_cell_length_b 6.7517
_cell_length_c 5.2494
_cell_angle_alpha 90.00
_cell_angle_beta 90.00
_cell_angle_gamma 90.00
loop_
_space_group_symop_operation_xyz
'x,y,z'
loop_
_atom_site_label
_atom_site_type_symbol
_atom_site_fract_x
_atom_site_fract_y
_atom_site_fract_z
Al1 Al 0.1397 0.3603 0.0000
Al2 Al 0.3603 0.8603 0.0000
Al3 Al 0.6397 0.1397 0.0000
Al4 Al 0.8603 0.6397 0.0000
Bi1 Bi 0.1795 0.6795 0.5000
Bi2 Bi 0.3205 0.1795 0.5000
Bi3 Bi 0.6795 0.8205 0.5000
Bi4 Bi 0.8205 0.3205 0.5000
Au1 Au 0.0000 0.0000 0.0000
Au2 Au 0.5000 0.5000 0.0000

---

Arrangement Q

# Al2Bi2Au | Alexandria via LeMat-Bulk | PBE | relaxed
# - spin magnetization (Bohr magnetons per cell) = 0.000
data_Al2Bi2Au
_chemical_formula_sum 'Al2 Bi2 Au1'
_space_group_name_H-M_alt 'P 1'
_space_group_IT_number 1
_cell_length_a 8.4961
_cell_length_b 8.4961
_cell_length_c 8.4961
_cell_angle_alpha 153.15
_cell_angle_beta 153.15
_cell_angle_gamma 38.33
loop_
_space_group_symop_operation_xyz
'x,y,z'
loop_
_atom_site_label
_atom_site_type_symbol
_atom_site_fract_x
_atom_site_fract_y
_atom_site_fract_z
Al1 Al 0.2500 0.7500 0.5000
Al2 Al 0.7500 0.2500 0.5000
Bi1 Bi 0.1097 0.1097 0.0000
Bi2 Bi 0.8903 0.8903 0.0000
Au1 Au 0.5000 0.5000 0.0000

---

It is arrangement P that is the most stable of them.

---

Arrangement P

# AlAu2Br | Alexandria via LeMat-Bulk | PBE | relaxed
# - spin magnetization (Bohr magnetons per cell) = 0.000
data_AlAu2Br
_chemical_formula_sum 'Al1 Au2 Br1'
_space_group_name_H-M_alt 'P 1'
_space_group_IT_number 1
_cell_length_a 3.6238
_cell_length_b 3.2271
_cell_length_c 7.7182
_cell_angle_alpha 90.00
_cell_angle_beta 90.96
_cell_angle_gamma 90.00
loop_
_space_group_symop_operation_xyz
'x,y,z'
loop_
_atom_site_label
_atom_site_type_symbol
_atom_site_fract_x
_atom_site_fract_y
_atom_site_fract_z
Al1 Al 0.0000 0.0000 0.0000
Au1 Au 0.0126 0.0000 0.3550
Au2 Au 0.5052 0.5000 0.1470
Br1 Br 0.9905 0.5000 0.7441

---

Arrangement Q

# AlAu2Br | Alexandria via LeMat-Bulk | PBE | relaxed
# - spin magnetization (Bohr magnetons per cell) = 0.000
data_AlAu2Br
_chemical_formula_sum 'Al1 Au2 Br1'
_space_group_name_H-M_alt 'P 1'
_space_group_IT_number 1
_cell_length_a 4.8861
_cell_length_b 4.8861
_cell_length_c 4.8861
_cell_angle_alpha 60.00
_cell_angle_beta 60.00
_cell_angle_gamma 60.00
loop_
_space_group_symop_operation_xyz
'x,y,z'
loop_
_atom_site_label
_atom_site_type_symbol
_atom_site_fract_x
_atom_site_fract_y
_atom_site_fract_z
Al1 Al 0.0000 0.0000 0.0000
Au1 Au 0.2500 0.2500 0.2500
Au2 Au 0.7500 0.7500 0.7500
Br1 Br 0.5000 0.5000 0.5000

---

Arrangement R

# AlAu2Br | Alexandria via LeMat-Bulk | PBE | relaxed
# - spin magnetization (Bohr magnetons per cell) = 0.000
data_AlAu2Br
_chemical_formula_sum 'Al1 Au2 Br1'
_space_group_name_H-M_alt 'P 1'
_space_group_IT_number 1
_cell_length_a 5.6635
_cell_length_b 5.6635
_cell_length_c 5.6635
_cell_angle_alpha 147.18
_cell_angle_beta 113.71
_cell_angle_gamma 75.97
loop_
_space_group_symop_operation_xyz
'x,y,z'
loop_
_atom_site_label
_atom_site_type_symbol
_atom_site_fract_x
_atom_site_fract_y
_atom_site_fract_z
Al1 Al 0.0000 0.0000 0.0000
Au1 Au 0.2165 0.7165 0.5000
Au2 Au 0.7835 0.2835 0.5000
Br1 Br 0.5000 0.5000 0.0000

---

Arrangement S

# AlAu2Br | Alexandria via LeMat-Bulk | PBE | relaxed
# - spin magnetization (Bohr magnetons per cell) = 0.000
data_AlAu2Br
_chemical_formula_sum 'Al1 Au2 Br1'
_space_group_name_H-M_alt 'P 1'
_space_group_IT_number 1
_cell_length_a 5.1202
_cell_length_b 5.1202
_cell_length_c 5.1202
_cell_angle_alpha 127.82
_cell_angle_beta 127.82
_cell_angle_gamma 76.92
loop_
_space_group_symop_operation_xyz
'x,y,z'
loop_
_atom_site_label
_atom_site_type_symbol
_atom_site_fract_x
_atom_site_fract_y
_atom_site_fract_z
Al1 Al 0.0000 0.0000 0.0000
Au1 Au 0.2500 0.7500 0.5000
Au2 Au 0.5000 0.5000 0.0000
Br1 Br 0.7500 0.2500 0.5000

---

It is arrangement P that is the most stable of them.

---

Arrangement P

# AlAu2Br | Alexandria via LeMat-Bulk | PBE | relaxed
# - spin magnetization (Bohr magnetons per cell) = 0.000
data_AlAu2Br
_chemical_formula_sum 'Al1 Au2 Br1'
_space_group_name_H-M_alt 'P 1'
_space_group_IT_number 1
_cell_length_a 4.8605
_cell_length_b 4.8605
_cell_length_c 6.5770
_cell_angle_alpha 92.96
_cell_angle_beta 92.96
_cell_angle_gamma 41.66
loop_
_space_group_symop_operation_xyz
'x,y,z'
loop_
_atom_site_label
_atom_site_type_symbol
_atom_site_fract_x
_atom_site_fract_y
_atom_site_fract_z
Al1 Al 0.0000 0.0000 0.0000
Au1 Au 0.2909 0.2909 0.8914
Au2 Au 0.5726 0.5726 0.7291
Br1 Br 0.5505 0.5505 0.3001

---

Arrangement Q

# AlAu2Br | Alexandria via LeMat-Bulk | PBE | relaxed
# - spin magnetization (Bohr magnetons per cell) = 0.000
data_AlAu2Br
_chemical_formula_sum 'Al1 Au2 Br1'
_space_group_name_H-M_alt 'P 1'
_space_group_IT_number 1
_cell_length_a 3.1861
_cell_length_b 3.1861
_cell_length_c 8.3506
_cell_angle_alpha 90.00
_cell_angle_beta 90.00
_cell_angle_gamma 90.00
loop_
_space_group_symop_operation_xyz
'x,y,z'
loop_
_atom_site_label
_atom_site_type_symbol
_atom_site_fract_x
_atom_site_fract_y
_atom_site_fract_z
Al1 Al 0.0000 0.0000 0.0000
Au1 Au 0.0000 0.0000 0.4110
Au2 Au 0.5000 0.5000 0.1845
Br1 Br 0.5000 0.5000 0.7861

---

Arrangement R

# AlAu2Br | Alexandria via LeMat-Bulk | PBE | relaxed
# - spin magnetization (Bohr magnetons per cell) = 0.000
data_AlAu2Br
_chemical_formula_sum 'Al1 Au2 Br1'
_space_group_name_H-M_alt 'P 1'
_space_group_IT_number 1
_cell_length_a 3.0796
_cell_length_b 4.6128
_cell_length_c 5.9000
_cell_angle_alpha 90.00
_cell_angle_beta 90.00
_cell_angle_gamma 90.00
loop_
_space_group_symop_operation_xyz
'x,y,z'
loop_
_atom_site_label
_atom_site_type_symbol
_atom_site_fract_x
_atom_site_fract_y
_atom_site_fract_z
Al1 Al 0.0000 0.0000 0.0000
Au1 Au 0.0000 0.5000 0.5000
Au2 Au 0.5000 0.5000 0.0000
Br1 Br 0.5000 0.0000 0.5000

---

It is arrangement P that is the most stable of them.